(1)
First-principles (PBE-GGA) data for a relaxed ErPu4Mg crystal, as listed in the Alexandria database.

Structure (POSCAR):
```
ErPu4Mg
1.0
6.137 0.000 0.000
3.068 5.314 0.000
3.068 1.771 5.010
Pu Mg Er
4 1 1
Direct
0.625 0.625 0.125 Pu
0.625 0.125 0.625 Pu
0.125 0.625 0.625 Pu
0.625 0.625 0.625 Pu
0.000 0.000 0.000 Mg
0.250 0.250 0.250 Er
```


(2)
First-principles (PBE-GGA) data for a relaxed ErPuMgRu crystal, as listed in the Alexandria database.

Structure (POSCAR):
```
ErPuMgRu
1.0
-2.841 1.998 3.571
0.920 -1.034 4.785
1.868 3.516 2.993
Pu Er Mg Ru
1 1 1 1
Direct
0.000 0.000 0.000 Pu
0.500 0.500 0.500 Er
0.250 0.250 0.250 Mg
0.750 0.750 0.750 Ru
```


(3)
First-principles (PBE-GGA) data for a relaxed ErPuMgSc crystal, as listed in the Alexandria database.

Structure (POSCAR):
```
ErPuMgSc
1.0
-2.115 1.366 4.683
-4.118 -2.736 1.956
0.668 -3.143 4.236
Sc Pu Er Mg
1 1 1 1
Direct
0.000 0.000 0.000 Sc
0.250 0.250 0.250 Pu
0.750 0.750 0.750 Er
0.500 0.500 0.500 Mg
```


(4)
First-principles (PBE-GGA) data for a relaxed SmErPuMg crystal, as listed in the Alexandria database.

Structure (POSCAR):
```
SmErPuMg
1.0
-1.980 -2.443 -4.479
2.358 -4.559 -1.899
-2.593 -4.802 0.421
Pu Mg Sm Er
1 1 1 1
Direct
0.500 0.500 0.500 Pu
0.000 0.000 0.000 Mg
0.750 0.750 0.750 Sm
0.250 0.250 0.250 Er
```


(5)
First-principles (PBE-GGA) data for a relaxed ErPuMgTc crystal, as listed in the Alexandria database.

Structure (POSCAR):
```
ErPuMgTc
1.0
4.980 0.000 0.000
2.490 4.313 0.000
2.490 1.438 4.066
Er Mg Tc Pu
1 1 1 1
Direct
0.750 0.750 0.750 Er
0.500 0.500 0.500 Mg
0.000 0.000 0.000 Tc
0.250 0.250 0.250 Pu
```


(6)
First-principles (PBE-GGA) data for a relaxed ErPuMgTl crystal, as listed in the Alexandria database.

Structure (POSCAR):
```
ErPuMgTl
1.0
5.346 0.000 0.000
2.673 4.630 0.000
2.673 1.543 4.365
Tl Mg Pu Er
1 1 1 1
Direct
0.000 0.000 0.000 Tl
0.500 0.500 0.500 Mg
0.750 0.750 0.750 Pu
0.250 0.250 0.250 Er
```


M_tot values, unit μB per atom, following the record order: 3.891; 1.399; 1.538; 1.553; 1.344; 1.578.
Calculated volume values, unit Å³ per atom, following the record order: 27.23; 21.85; 26.57; 28.98; 21.84; 27.02.
Total DFT energy (no corrections) values, unit eV per atom, following the record order: -10.28; -7.47; -6.56; -6.15; -7.60; -5.75.